Compound: MnZn13
Source: the Alexandria database
Functional: PBEsol
Structure: relaxed

a b c (Å): 5.102 6.625 6.625
angles (deg): 115.56 99.05 80.95
Sites, in units of the cell vectors:
1 Zn 0.326 0.589 0.787
2 Zn 0.185 0.350 0.002
3 Zn 0.326 0.213 0.411
4 Zn 0.121 0.591 0.409
5 Zn 0.815 0.650 0.998
6 Zn 0.500 0.000 0.000
7 Zn 0.673 0.218 0.782
8 Zn 0.185 0.998 0.650
9 Zn 0.674 0.411 0.213
10 Zn 0.327 0.782 0.218
11 Zn 0.879 0.409 0.591
12 Zn 0.674 0.787 0.589
13 Zn 0.815 0.002 0.350
14 Mn 0.000 0.000 0.000

## Properties
**Space-group type**: C2/m
**Calculated formation energy**: 101 kJ/mol of formula units
**Density of states at the Fermi level**: 4.95 states/eV/f.u.
**Calculated total energy**: -2.091 eV/atom
**Spin magnetization**: 3.09 μB/f.u.

=====

Compound: BaCdNi2
Source: the Alexandria database
Functional: PBEsol
Structure: relaxed

a b c (Å): 4.188 4.191 6.328
angles (deg): 109.24 90.09 119.92
Sites, in units of the cell vectors:
1 Ni 0.308 0.616 0.924
2 Cd 0.701 0.401 0.103
3 Ni 0.978 0.956 0.935
4 Ba 0.513 0.026 0.539

## Properties
**Space-group type**: Cm
**Calculated formation energy**: 13 kJ/mol of formula units
**Density of states at the Fermi level**: 4.20 states/eV/f.u.
**Calculated total energy**: -3.881 eV/atom
**Spin magnetization**: 0.43 μB/f.u.

=====

Here are the calculated mass density numbers, same order: 7.57, 6.85 (g/cm³).